Here is an optimized crystal structure of CsLiSc2H from Alexandria. Energies are from PBE.

a b c (Å): 4.5163 4.5163 6.1418
angles (deg): 90.00 90.00 90.00
Closest atoms and distances in Å follow each position.
Space group P4/mmm (No. 123)
Inequivalent atoms, fractional coordinates:
Cs: 0.0000 0.0000 0.0000 x1  2 H 3.07, 4 Li 3.19
Li: 0.5000 0.5000 0.0000 x1  4 Cs 3.19
Sc: 0.0000 0.5000 0.5000 x2  2 H 2.26
H: 0.0000 0.0000 0.5000 x1  4 Sc 2.26



Here is an optimized crystal structure of Sr2PtCSe from Alexandria. Energies are from PBE.

a b c (Å): 5.4151 5.4151 4.0125
angles (deg): 90.00 90.00 90.00
Closest atoms and distances in Å follow each position.
Space group P4/mmm (No. 123)
Inequivalent atoms, fractional coordinates:
Sr: 0.0000 0.5000 0.0000 x2  2 C 2.71
Pt: 0.0000 0.0000 0.5000 x1  8 Sr 3.37
C: 0.5000 0.5000 0.0000 x1  2 Se 2.01
Se: 0.5000 0.5000 0.5000 x1  2 C 2.01

Output
- Uncorrected formation energy: -0.111 eV/f.u.



Here is an optimized crystal structure of Ce2CdHg4 from Alexandria. Energies are from PBE.

a b c (Å): 5.3184 5.3184 16.0645
angles (deg): 90.00 90.00 90.00
Closest atoms and distances in Å follow each position.
Space group I4/mmm (No. 139)
Inequivalent atoms, fractional coordinates:
Ce: 0.0000 0.0000 0.1219 x4  5 Hg 3.12-3.30
Cd: 0.0000 0.0000 0.5000 x2  6 Hg 2.66-2.96
Hg: 0.0000 0.0000 0.3160 x4  1 Cd 2.96, 1 Ce 3.12
Hg: 0.0000 0.5000 0.0000 x4  2 Cd 2.66

Output
- ΔE to the lowest computed polymorph: 2.30 eV/f.u.



Here is an optimized crystal structure of Ho3TlPb2 from Alexandria. Energies are from PBE.

a b c (Å): 12.7687 4.7298 11.4367
angles (deg): 90.00 90.00 90.00
Closest atoms and distances in Å follow each position.
Space group Pnma (No. 62)
Inequivalent atoms, fractional coordinates:
Ho: 0.0264 0.2500 0.1221 x4  1 Tl 3.07, 5 Pb 3.18-3.41
Ho: 0.1435 0.7500 0.5800 x4  5 Pb 3.17-3.31
Ho: 0.1909 0.2500 0.8258 x4  2 Tl 3.04, 1 Pb 3.10
Tl: 0.1610 0.2500 0.3442 x4  3 Ho 3.04-3.07, 3 Pb 3.09-3.10
Pb: 0.0039 0.7500 0.3359 x4  6 Ho 3.10-3.41, 2 Tl 3.10
Pb: 0.1788 0.7500 0.0470 x4  1 Tl 3.09, 5 Ho 3.18-3.30

Output
- ΔE to the lowest computed polymorph: 0.34 eV/f.u.



| no. | final energy (eV/atom) |
| --- | --- |
| 1 | -3.372 |
| 2 | -4.445 |
| 3 | -1.896 |
| 4 | -4.245 |